(1)
Here is crystalline HgPtPb6Au2 at its relaxed geometry from Alexandria. Energies are from PBE-GGA.

The structure in CIF format:
```
data_HgPtPb6Au2
_chemical_formula_sum 'Hg2 Pt2 Pb12 Au4'
_space_group_name_H-M_alt 'P 1'
_space_group_IT_number 1
_space_group_name_Hall 'P 1'
_cell_length_a 8.209
_cell_length_b 7.079
_cell_length_c 9.724
_cell_angle_alpha 90.00
_cell_angle_beta 79.78
_cell_angle_gamma 90.00
loop_
_atom_site_label
_atom_site_fract_x
_atom_site_fract_y
_atom_site_fract_z
Pb1 0.627 0.347 0.579
Pb2 0.772 0.546 0.249
Pb3 0.272 0.954 0.749
Pb4 0.228 0.454 0.751
Pb5 0.715 0.361 0.913
Pb6 0.785 0.861 0.587
Pb7 0.373 0.653 0.421
Pb8 0.285 0.639 0.087
Pb9 0.215 0.139 0.413
Pb10 0.873 0.847 0.921
Pb11 0.728 0.046 0.251
Pb12 0.127 0.153 0.079
Pt1 0.500 0.000 0.500
Pt2 0.000 0.500 0.000
Au1 0.042 0.828 0.308
Au2 0.958 0.172 0.692
Au3 0.458 0.328 0.192
Au4 0.542 0.672 0.808
Hg1 0.000 0.500 0.500
Hg2 0.500 0.000 0.000
```

Output
Total moment (μB/f.u.): 0.0
Calculated total energy (eV/atom): -3.55

---

(2)
Here is crystalline Li2Ca5Hg12 at its relaxed geometry from Alexandria. Energies are from PBE-GGA.

The structure in CIF format:
```
data_Li2Ca5Hg12
_chemical_formula_sum 'Li2 Ca5 Hg12'
_space_group_name_H-M_alt 'P 1'
_space_group_IT_number 1
_space_group_name_Hall 'P 1'
_cell_length_a 7.601
_cell_length_b 8.370
_cell_length_c 8.650
_cell_angle_alpha 61.06
_cell_angle_beta 90.00
_cell_angle_gamma 90.00
loop_
_atom_site_label
_atom_site_fract_x
_atom_site_fract_y
_atom_site_fract_z
Ca1 0.957 0.303 0.394
Ca2 0.500 0.000 0.000
Ca3 0.433 0.250 0.501
Ca4 0.567 0.750 0.499
Ca5 0.043 0.697 0.606
Hg1 0.243 0.650 0.306
Hg2 0.102 0.099 0.802
Hg3 0.253 0.459 0.082
Hg4 0.757 0.350 0.694
Hg5 0.898 0.901 0.198
Hg6 0.747 0.541 0.918
Hg7 0.647 0.595 0.227
Hg8 0.757 0.956 0.694
Hg9 0.243 0.044 0.306
Hg10 0.353 0.405 0.773
Hg11 0.353 0.822 0.773
Hg12 0.647 0.178 0.227
Li1 0.000 0.264 0.000
Li2 0.000 0.736 0.000
```

Output
Total moment (μB/f.u.): 0.0
Calculated total energy (eV/atom): -1.30